<w>
Material: LiZnP2O
Method: DFT, PBE
State: optimized geometry

Cell: 4.6950 4.6950 3.2512 Å, 90.00 90.00 90.00°
With the nearest neighbours (Å) after each atom.
Fractional positions:
Li  0.0000  0.0000  0.0000  2 O 1.63
Zn  0.5000  0.5000  0.5000  8 P 2.86
P  0.0000  0.5000  0.0000  2 Li 2.35
P  0.5000  0.0000  0.0000  2 Li 2.35
O  0.0000  0.0000  0.5000  2 Li 1.63

***

<x>
Material: LiZnP2O
Method: DFT, PBE
State: optimized geometry

Cell: 4.9834 4.9834 3.5651 Å, 90.00 90.00 90.00°
With the nearest neighbours (Å) after each atom.
Fractional positions:
Li  0.0000  0.0000  0.0000  8 P 3.06
Zn  0.5000  0.5000  0.5000  2 O 1.78
P  0.0000  0.5000  0.5000  2 Zn 2.49
P  0.5000  0.0000  0.5000  2 Zn 2.49
O  0.5000  0.5000  0.0000  2 Zn 1.78

***

Most favorable structure: <x>. The second most favorable one is 71 meV/atom above it.